Entry 1:
ThNiAsSe | PBE | optimized geometry

As for the uncorrected formation energy: -4.06 eV/f.u.

The space group is P4/nmm (No. 129, origin choice 2) and the conventional cell measures 4.242, 4.242 and 8.895 Å, with angles of 90.00, 90.00 and 90.00 degrees. The distinct sites, in fractional coordinates, are Th at (0.250, 0.250, 0.249), Ni at (0.250, 0.750, 0.000), As at (0.250, 0.250, 0.860) and Se at (0.250, 0.750, 0.500).

***

Entry 2:
Ca3Zr3UN8 | PBE | optimized geometry

As for the uncorrected formation energy: -20.94 eV/f.u.

The space group is R-3m (No. 166, hexagonal axes) and the conventional cell measures 6.6883, 6.6883 and 17.0766 Å, with angles of 90.00, 90.00 and 120.00 degrees. The distinct sites, in fractional coordinates, are Ca at (0.0000, 0.5000, 0.0000), Zr at (0.0000, 0.5000, 0.5000), U at (0.0000, 0.0000, 0.5000), N at (0.0000, 0.0000, 0.2394) and N at (0.0125, 0.5063, 0.2329).

***

Entry 3:
Pm2YSb3 | PBE | optimized geometry

As for the uncorrected formation energy: -7.06 eV/f.u.

The space group is Immm (No. 71) and the conventional cell measures 4.461, 6.308 and 13.379 Å, with angles of 90.00, 90.00 and 90.00 degrees. The distinct sites, in fractional coordinates, are Pm at (0.000, 0.000, 0.168), Y at (0.000, 0.000, 0.500), Sb at (0.000, 0.500, 0.163) and Sb at (0.000, 0.500, 0.500).

***

The records above yield E values of -6.348 -8.699 -5.899 eV/atom, respectively.